{"formula": "Pr5Sm3Tl2", "functional": "PBE", "state": "relaxed", "cell": [[6.744, 0.000, 0.000], [3.372, 9.994, -2.090], [3.372, 0.637, 10.190]], "species": ["Pr", "Pr", "Pr", "Pr", "Pr", "Pr", "Pr", "Pr", "Pr", "Pr", "Sm", "Sm", "Sm", "Sm", "Sm", "Sm", "Tl", "Tl", "Tl", "Tl"], "frac_coords": [[0.250, 0.500, 0.500], [0.750, 0.500, 0.500], [0.499, 0.751, 0.751], [0.001, 0.249, 0.249], [0.501, 0.249, 0.249], [0.999, 0.751, 0.751], [0.124, 0.538, 0.215], [0.876, 0.462, 0.785], [0.624, 0.215, 0.538], [0.376, 0.785, 0.462], [0.250, 0.000, 0.000], [0.750, 0.000, 0.000], [0.386, 0.351, 0.877], [0.614, 0.649, 0.123], [0.886, 0.877, 0.351], [0.114, 0.123, 0.649], [0.125, 0.731, 0.019], [0.875, 0.269, 0.981], [0.625, 0.019, 0.731], [0.375, 0.981, 0.269]], "density_g_cm3": 7.5, "formation_enthalpy_0k_mev_per_atom": 108}